Record 1
SiBi2O5 after structural relaxation, computed with PBEsol.

Values from the calculation:
VASP energy ... -6.877 eV per atom
Raw formation energy ... -1.806 eV/atom
SG ... Pnma, No. 62

abc: 10.8465 3.8395 10.7622
angles: 90.00 90.00 90.00
With the nearest neighbours (Å) after each atom.
Element x y z (fractional)
Si (0.2129, 0.2500, 0.1436)  3 O 1.64-1.68
Si (0.2871, 0.7500, 0.6436)  3 O 1.64-1.68
Si (0.7129, 0.2500, 0.3564)  3 O 1.64-1.68
Si (0.7871, 0.7500, 0.8564)  3 O 1.64-1.68
Bi (0.0675, 0.2500, 0.7897)  3 O 2.15-2.31
Bi (0.1434, 0.2500, 0.4508)  4 O 2.24-2.39
Bi (0.3566, 0.7500, 0.9508)  4 O 2.24-2.39
Bi (0.4325, 0.7500, 0.2897)  3 O 2.15-2.31
Bi (0.5675, 0.2500, 0.7103)  3 O 2.15-2.31
Bi (0.6434, 0.2500, 0.0492)  4 O 2.24-2.39
Bi (0.8566, 0.7500, 0.5492)  4 O 2.24-2.39
Bi (0.9325, 0.7500, 0.2103)  3 O 2.15-2.31
O (0.0008, 0.2500, 0.6012)  2 Bi 2.15-2.24
O (0.0696, 0.2500, 0.1910)  1 Si 1.64
O (0.1828, 0.7500, 0.7587)  1 Si 1.68
O (0.2374, 0.7500, 0.1370)  2 Si 1.94
O (0.2435, 0.2500, 0.9911)  1 Si 1.67
O (0.2565, 0.7500, 0.4911)  1 Si 1.67
O (0.2626, 0.2500, 0.6370)  2 Si 1.94
O (0.3172, 0.2500, 0.2587)  1 Si 1.68
O (0.4304, 0.7500, 0.6910)  1 Si 1.64
O (0.4992, 0.7500, 0.1012)  2 Bi 2.15-2.24
O (0.5008, 0.2500, 0.8988)  2 Bi 2.15-2.24
O (0.5696, 0.2500, 0.3090)  1 Si 1.64
O (0.6828, 0.7500, 0.7413)  1 Si 1.68
O (0.7374, 0.7500, 0.3630)  2 Si 1.94
O (0.7435, 0.2500, 0.5089)  1 Si 1.67
O (0.7565, 0.7500, 0.0089)  1 Si 1.67
O (0.7626, 0.2500, 0.8630)  2 Si 1.94
O (0.8172, 0.2500, 0.2413)  1 Si 1.68
O (0.9304, 0.7500, 0.8090)  1 Si 1.64
O (0.9992, 0.7500, 0.3988)  2 Bi 2.15-2.24

Record 2
TlAs2Se2 after structural relaxation, computed with PBEsol.

Values from the calculation:
VASP energy ... -4.035 eV per atom
Raw formation energy ... 0.074 eV/atom
SG ... P4/mbm, No. 127

abc: 8.5301 8.5301 3.4631
angles: 90.00 90.00 90.00
With the nearest neighbours (Å) after each atom.
Element x y z (fractional)
Tl (0.0000, 0.0000, 0.0000)  4 Se 3.26, 2 Tl 3.46, 8 As 3.51
Tl (0.5000, 0.5000, 0.0000)  4 Se 3.26, 2 Tl 3.46, 8 As 3.51
As (0.2113, 0.2887, 0.5000)  2 Se 2.44
As (0.2887, 0.7887, 0.5000)  2 Se 2.44
As (0.7113, 0.2113, 0.5000)  2 Se 2.44
As (0.7887, 0.7113, 0.5000)  2 Se 2.44
Se (0.1465, 0.6465, 0.0000)  2 As 2.44
Se (0.3535, 0.1465, 0.0000)  2 As 2.44
Se (0.6465, 0.8535, 0.0000)  2 As 2.44
Se (0.8535, 0.3535, 0.0000)  2 As 2.44

Record 3
FeWSe after structural relaxation, computed with PBEsol.

Values from the calculation:
VASP energy ... -8.139 eV per atom
Raw formation energy ... 0.734 eV/atom
SG ... F-43m, No. 216

abc: 4.0065 4.0065 4.0065
angles: 60.00 60.00 60.00
With the nearest neighbours (Å) after each atom.
Element x y z (fractional)
Fe (0.0000, 0.0000, 0.0000)  4 Se 2.45
W (0.5000, 0.5000, 0.5000)  4 Se 2.45
Se (0.2500, 0.2500, 0.2500)  4 Fe 2.45, 4 W 2.45

Record 4
Li2PrPb after structural relaxation, computed with PBEsol.

Values from the calculation:
VASP energy ... -3.667 eV per atom
SG ... Fm-3m, No. 225

abc: 4.9149 4.9149 4.9149
angles: 60.00 60.00 60.00
With the nearest neighbours (Å) after each atom.
Element x y z (fractional)
Li (0.2500, 0.2500, 0.2500)  4 Pb 3.01, 4 Pr 3.01
Li (0.7500, 0.7500, 0.7500)  4 Pb 3.01, 4 Pr 3.01
Pr (0.0000, 0.0000, 0.0000)  8 Li 3.01
Pb (0.5000, 0.5000, 0.5000)  8 Li 3.01

Record 5
LaSiSb2 after structural relaxation, computed with PBEsol.

Values from the calculation:
VASP energy ... -5.451 eV per atom
Raw formation energy ... -0.399 eV/atom
SG ... I-4m2, No. 119

abc: 5.9879 5.9879 5.9879
angles: 136.67 136.67 62.95
With the nearest neighbours (Å) after each atom.
Element x y z (fractional)
La (0.0000, 0.0000, 0.0000)  8 Sb 3.13-3.38, 4 Si 3.38
Si (0.2500, 0.7500, 0.5000)  8 Sb 3.13-3.38, 4 La 3.38
Sb (0.5000, 0.5000, 0.0000)  4 La 3.13, 4 Sb 3.38, 4 Si 3.38
Sb (0.7500, 0.2500, 0.5000)  4 Si 3.13, 4 Sb 3.38, 4 La 3.38

Record 6
RbPd3N after structural relaxation, computed with PBEsol.

Values from the calculation:
VASP energy ... -5.097 eV per atom
Raw formation energy ... 0.388 eV/atom
SG ... Pm-3m, No. 221

abc: 4.2988 4.2988 4.2988
angles: 90.00 90.00 90.00
With the nearest neighbours (Å) after each atom.
Element x y z (fractional)
Rb (0.0000, 0.0000, 0.0000)  12 Pd 3.04
Pd (0.0000, 0.5000, 0.5000)  2 N 2.15
Pd (0.5000, 0.0000, 0.5000)  2 N 2.15
Pd (0.5000, 0.5000, 0.0000)  2 N 2.15
N (0.5000, 0.5000, 0.5000)  6 Pd 2.15

Record 7
Hf3CdSn after structural relaxation, computed with PBEsol.

Values from the calculation:
VASP energy ... -6.379 eV per atom
SG ... Pm-3m, No. 221

abc: 5.1629 5.1629 5.1629
angles: 90.00 90.00 90.00
With the nearest neighbours (Å) after each atom.
Element x y z (fractional)
Hf (0.0000, 0.0000, 0.5000)  2 Sn 2.58
Hf (0.0000, 0.5000, 0.0000)  2 Sn 2.58
Hf (0.5000, 0.0000, 0.0000)  2 Sn 2.58
Cd (0.5000, 0.5000, 0.5000)  12 Hf 3.65
Sn (0.0000, 0.0000, 0.0000)  6 Hf 2.58

Record 8
Ca2Sn2Bi after structural relaxation, computed with PBEsol.

Values from the calculation:
VASP energy ... -4.019 eV per atom
SG ... P4/mbm, No. 127

abc: 8.0352 8.0352 4.5314
angles: 90.00 90.00 90.00
With the nearest neighbours (Å) after each atom.
Element x y z (fractional)
Ca (0.1742, 0.3258, 0.0000)  6 Sn 3.22-3.33
Ca (0.3258, 0.8258, 0.0000)  6 Sn 3.22-3.33
Ca (0.6742, 0.1742, 0.0000)  6 Sn 3.22-3.33
Ca (0.8258, 0.6742, 0.0000)  6 Sn 3.22-3.33
Sn (0.1250, 0.6250, 0.5000)  1 Sn 2.84, 2 Bi 3.18
Sn (0.3750, 0.1250, 0.5000)  1 Sn 2.84, 2 Bi 3.18
Sn (0.6250, 0.8750, 0.5000)  1 Sn 2.84, 2 Bi 3.18
Sn (0.8750, 0.3750, 0.5000)  1 Sn 2.84, 2 Bi 3.18
Bi (0.0000, 0.0000, 0.5000)  4 Sn 3.18
Bi (0.5000, 0.5000, 0.5000)  4 Sn 3.18

Record 9
LiCl3 after structural relaxation, computed with PBEsol.

Values from the calculation:
VASP energy ... -2.623 eV per atom
Raw formation energy ... -0.626 eV/atom
SG ... P4/mmm, No. 123

abc: 5.3705 5.3705 4.6129
angles: 90.00 90.00 90.00
With the nearest neighbours (Å) after each atom.
Element x y z (fractional)
Li (0.0000, 0.0000, 0.0000)  2 Cl 2.31
Cl (0.0000, 0.0000, 0.5000)  2 Li 2.31
Cl (0.5000, 0.5000, 0.2144)  1 Cl 1.98
Cl (0.5000, 0.5000, 0.7856)  1 Cl 1.98

Record 10
NaTl3Ge after structural relaxation, computed with PBEsol.

Values from the calculation:
VASP energy ... -2.204 eV per atom
SG ... Pm-3m, No. 221

abc: 5.3738 5.3738 5.3738
angles: 90.00 90.00 90.00
With the nearest neighbours (Å) after each atom.
Element x y z (fractional)
Na (0.0000, 0.0000, 0.0000)  6 Tl 2.69
Tl (0.0000, 0.0000, 0.5000)  2 Na 2.69
Tl (0.0000, 0.5000, 0.0000)  2 Na 2.69
Tl (0.5000, 0.0000, 0.0000)  2 Na 2.69
Ge (0.5000, 0.5000, 0.5000)  12 Tl 3.80

Record 11
Ti2Ga2Tc after structural relaxation, computed with PBEsol.

Values from the calculation:
VASP energy ... -7.387 eV per atom
SG ... P4/mbm, No. 127

abc: 6.6207 6.6207 3.3931
angles: 90.00 90.00 90.00
With the nearest neighbours (Å) after each atom.
Element x y z (fractional)
Ti (0.1743, 0.3257, 0.0000)  6 Ga 2.50-2.65
Ti (0.3257, 0.8257, 0.0000)  6 Ga 2.50-2.65
Ti (0.6743, 0.1743, 0.0000)  6 Ga 2.50-2.65
Ti (0.8257, 0.6743, 0.0000)  6 Ga 2.50-2.65
Ga (0.1296, 0.6296, 0.5000)  1 Ga 2.43, 6 Ti 2.50-2.65, 2 Tc 2.60
Ga (0.3704, 0.1296, 0.5000)  1 Ga 2.43, 6 Ti 2.50-2.65, 2 Tc 2.60
Ga (0.6296, 0.8704, 0.5000)  1 Ga 2.43, 6 Ti 2.50-2.65, 2 Tc 2.60
Ga (0.8704, 0.3704, 0.5000)  1 Ga 2.43, 6 Ti 2.50-2.65, 2 Tc 2.60
Tc (0.0000, 0.0000, 0.5000)  4 Ga 2.60
Tc (0.5000, 0.5000, 0.5000)  4 Ga 2.60